No. 1
Here is Ho3ThTe4 after structural relaxation from Alexandria via LeMat-Bulk. Energies are from PBE.

* energy above the lowest structure with this stoichiometry: 0.0 kJ/mol of atoms

Unit cell a=4.2480 b=4.2480 c=30.1825 alpha=90.00 beta=90.00 gamma=120.00
Element x y z (fractional)
Th: 0.3333 0.6667 0.2500
Ho: 0.6667 0.3333 0.3784
Th: 0.6667 0.3333 0.7500
Te: 0.0000 0.0000 0.1820
Ho: 0.3333 0.6667 0.8784
Te: 0.0000 0.0000 0.3180
Te: 0.3333 0.6667 0.4393
Te: 0.0000 0.0000 0.8181
Ho: 0.0000 0.0000 0.5000
Ho: 0.0000 0.0000 0.0000
Ho: 0.3333 0.6667 0.6216
Te: 0.6667 0.3333 0.5607
Ho: 0.6667 0.3333 0.1216
Te: 0.3333 0.6667 0.0607
Te: 0.6667 0.3333 0.9393
Te: 0.0000 0.0000 0.6819


No. 2
Here is La2PmNd5Mg after structural relaxation from Alexandria via LeMat-Bulk. Energies are from PBE.

* energy of formation from the pure elements: 79 meV/atom

Unit cell a=5.6630 b=10.5922 c=10.8745 alpha=90.00 beta=90.00 gamma=105.50
Element x y z (fractional)
Nd: 0.7127 0.4254 0.2049
Nd: 0.3815 0.7629 0.0082
Nd: 0.5000 0.0000 0.2581
La: 0.1160 0.2320 0.7166
Nd: 0.2873 0.5746 0.7049
La: 0.1158 0.2316 0.2998
Pm: 0.2007 0.4015 0.0083
Nd: 0.5000 0.0000 0.7581
Nd: 0.9860 0.9720 0.5082
Nd: 0.0140 0.0280 0.0082
Mg: 0.5949 0.1898 0.0081
La: 0.8840 0.7680 0.2166
Nd: 0.7129 0.4259 0.8118
Nd: 0.2871 0.5741 0.3118
Nd: 0.6185 0.2371 0.5082
Pm: 0.7993 0.5985 0.5083
Mg: 0.4051 0.8102 0.5081
La: 0.8842 0.7684 0.7998


No. 3
Here is Ce4FeCl5 after structural relaxation from Alexandria via LeMat-Bulk. Energies are from PBE.

* total DFT energy (no corrections): -5.6337 eV/atom

Unit cell a=3.8004 b=8.1637 c=9.1672 alpha=101.21 beta=101.96 gamma=90.00
Element x y z (fractional)
Ce: 0.6669 0.0693 0.3338
Cl: 0.8348 0.6724 0.6696
Cl: 0.1639 0.8014 0.3279
Cl: 0.8361 0.1986 0.6721
Ce: 0.3331 0.9307 0.6662
Ce: 0.9979 0.7871 0.9957
Fe: 0.5000 0.0000 0.0000
Cl: 0.5000 0.5000 0.0000
Cl: 0.1652 0.3276 0.3304
Ce: 0.0021 0.2129 0.0043


No. 4
Here is Y5Ni2Bi after structural relaxation from Alexandria via LeMat-Bulk. Energies are from PBE.

* energy of formation from the pure elements: -461 meV/atom

Unit cell a=7.7141 b=8.7261 c=7.7141 alpha=116.23 beta=90.00 gamma=116.23
Element x y z (fractional)
Y: 0.5210 0.7303 0.0210
Ni: 0.8681 0.0000 0.3681
Y: 0.9790 0.2697 0.7907
Y: 0.7093 0.7303 0.5210
Y: 0.2093 0.7303 0.7093
Y: 0.7907 0.2697 0.2907
Y: 0.0000 0.0000 0.0000
Ni: 0.6319 0.0000 0.8681
Y: 0.0210 0.7303 0.2093
Ni: 0.3681 0.0000 0.1319
Y: 0.5000 0.0000 0.5000
Y: 0.4790 0.2697 0.9790
Ni: 0.1319 0.0000 0.6319
Bi: 0.7500 0.5000 0.7500
Y: 0.2907 0.2697 0.4790
Bi: 0.2500 0.5000 0.2500


DOS(E_F) values, unit states/eV/atom, following the record order: 0.61 1.49 1.66 1.01.